! Ni7Mo2Pt3 | the Alexandria database | PBE | relaxed; values from VASP
&SYSTEM
  ibrav = 0, nat = 12, ntyp = 3
/
ATOMIC_SPECIES
Ni 58.69 Ni.upf
Mo 95.94 Mo.upf
Pt 195.08 Pt.upf
CELL_PARAMETERS angstrom
2.698 0.000 0.000
0.000 4.071 0.000
-1.330 0.000 15.287
ATOMIC_POSITIONS crystal
Ni 0.000 0.000 0.000
Ni 0.068 0.500 0.141
Ni 0.282 0.500 0.565
Ni 0.428 0.000 0.850
Ni 0.572 0.000 0.150
Ni 0.718 0.500 0.435
Ni 0.932 0.500 0.859
Mo 0.363 0.500 0.724
Mo 0.637 0.500 0.276
Pt 0.176 0.000 0.354
Pt 0.500 0.500 0.000
Pt 0.824 0.000 0.646
! **Formation energy**: 0.143 eV per atom
! **Space-group type**: P2/m, No. 10
! **DOS(E_F)**: 15.07 states/eV/f.u.